The following is a DFT calculation (PBE) of an optimized crystal structure of AgSn3Au2.

a b c (Å): 4.399 7.968 15.914
angles (deg): 90.00 90.00 90.00
Fractional coordinates of all 24 atoms:
Ag  0.250  0.090  0.132
Ag  0.750  0.910  0.868
Ag  0.750  0.590  0.368
Ag  0.250  0.410  0.632
Sn  0.250  0.497  0.086
Sn  0.750  0.503  0.914
Sn  0.750  0.997  0.414
Sn  0.250  0.003  0.586
Sn  0.250  0.779  0.265
Sn  0.750  0.221  0.735
Sn  0.750  0.279  0.235
Sn  0.250  0.721  0.765
Sn  0.250  0.372  0.435
Sn  0.750  0.628  0.565
Sn  0.750  0.872  0.065
Sn  0.250  0.128  0.935
Au  0.250  0.749  0.458
Au  0.750  0.251  0.542
Au  0.750  0.249  0.042
Au  0.250  0.751  0.958
Au  0.250  0.119  0.310
Au  0.750  0.881  0.690
Au  0.750  0.619  0.190
Au  0.250  0.381  0.810

Output
SG = Pnma, No. 62
magnetization = 0.00 μB per formula unit
raw total energy = -3.67 eV/atom
energy of formation from the pure elements = -56 kJ/mol of formula units

***

The following is a DFT calculation (PBE) of an optimized crystal structure of AgSn2Au.

a b c (Å): 4.445 4.445 6.237
angles (deg): 69.13 69.13 60.00
Fractional coordinates of all 4 atoms:
Ag  0.496  0.496  0.511
Sn  0.075  0.075  0.776
Sn  0.261  0.261  0.217
Au  0.668  0.668  0.996

Output
SG = R3m, No. 160
magnetization = 0.00 μB per formula unit
raw total energy = -3.55 eV/atom
energy of formation from the pure elements = -7 kJ/mol of formula units
energy relative to the lowest polymorph listed for this composition = 45.4 meV/atom

***

The following is a DFT calculation (PBE) of an optimized crystal structure of Ag2Sn2Au3.

a b c (Å): 5.155 5.089 8.474
angles (deg): 73.05 123.25 130.60
Fractional coordinates of all 7 atoms:
Ag  0.285  0.138  0.435
Ag  0.715  0.862  0.565
Sn  0.845  0.430  0.265
Sn  0.155  0.570  0.735
Au  0.000  0.000  0.000
Au  0.570  0.294  0.844
Au  0.430  0.706  0.156

Output
SG = P-1, No. 2
magnetization = 0.00 μB per formula unit
raw total energy = -3.40 eV/atom
energy of formation from the pure elements = -27 kJ/mol of formula units
energy relative to the lowest polymorph listed for this composition = 7.9 meV/atom

***

The following is a DFT calculation (PBE) of an optimized crystal structure of Ag2SnAu8.

a b c (Å): 4.231 6.638 7.847
angles (deg): 105.65 105.64 90.00
Fractional coordinates of all 11 atoms:
Ag  0.226  0.634  0.453
Ag  0.774  0.366  0.547
Sn  0.500  0.000  0.000
Au  0.593  0.453  0.185
Au  0.316  0.091  0.632
Au  0.138  0.184  0.276
Au  0.048  0.721  0.096
Au  0.862  0.816  0.724
Au  0.684  0.909  0.368
Au  0.407  0.547  0.815
Au  0.952  0.279  0.904

Output
SG = C2/m, No. 12
magnetization = 0.00 μB per formula unit
raw total energy = -3.30 eV/atom
energy of formation from the pure elements = -38 kJ/mol of formula units
energy relative to the lowest polymorph listed for this composition = 0.0 meV/atom

***

The following is a DFT calculation (PBE) of an optimized crystal structure of AgSn2Au.

a b c (Å): 3.925 4.767 4.767
angles (deg): 90.00 90.00 90.00
Fractional coordinates of all 4 atoms:
Au  0.500  0.500  0.500
Sn  0.000  0.000  0.500
Sn  0.000  0.500  0.000
Ag  0.500  0.000  0.000

Output
SG = P4/mmm, No. 123
magnetization = 0.00 μB per formula unit
raw total energy = -3.52 eV/atom
energy of formation from the pure elements = 4 kJ/mol of formula units
energy relative to the lowest polymorph listed for this composition = 75.5 meV/atom

***

The following is a DFT calculation (PBE) of an optimized crystal structure of Ag5SnAu3.

a b c (Å): 7.459 7.459 8.330
angles (deg): 90.16 90.16 62.57
Fractional coordinates of all 18 atoms:
Ag  0.949  0.326  0.305
Ag  0.333  0.667  0.000
Ag  0.677  0.677  0.136
Ag  0.501  0.501  0.336
Ag  0.499  0.499  0.664
Ag  0.323  0.323  0.864
Ag  0.326  0.949  0.305
Ag  0.667  0.333  0.000
Ag  0.051  0.674  0.695
Ag  0.674  0.051  0.695
Sn  0.128  0.128  0.749
Sn  0.872  0.872  0.251
Au  0.688  0.688  0.815
Au  0.706  0.706  0.484
Au  0.000  0.000  0.000
Au  0.000  0.000  0.500
Au  0.312  0.312  0.185
Au  0.294  0.294  0.516

Output
SG = C2/m, No. 12
magnetization = 0.00 μB per formula unit
raw total energy = -2.91 eV/atom
energy of formation from the pure elements = 180 kJ/mol of formula units

***

The following is a DFT calculation (PBE) of an optimized crystal structure of Ag5SnAu.

a b c (Å): 5.400 5.400 10.036
angles (deg): 104.03 104.03 96.38
Fractional coordinates of all 14 atoms:
Ag  0.980  0.611  0.152
Ag  0.231  0.544  0.461
Ag  0.611  0.980  0.652
Ag  0.855  0.145  0.250
Ag  0.456  0.769  0.039
Ag  0.544  0.231  0.961
Ag  0.145  0.855  0.750
Ag  0.389  0.020  0.348
Ag  0.769  0.456  0.539
Ag  0.020  0.389  0.848
Sn  0.504  0.496  0.250
Sn  0.496  0.504  0.750
Au  0.000  0.000  0.000
Au  0.000  0.000  0.500

Output
SG = C2/c, No. 15
magnetization = 0.00 μB per formula unit
raw total energy = -3.04 eV/atom
energy of formation from the pure elements = 28 kJ/mol of formula units

***

The following is a DFT calculation (PBE) of an optimized crystal structure of AgSnAu3.

a b c (Å): 5.176 5.176 5.176
angles (deg): 90.00 90.00 90.00
Fractional coordinates of all 5 atoms:
Au  0.000  0.500  0.000
Au  0.000  0.000  0.500
Au  0.500  0.000  0.000
Sn  0.000  0.000  0.000
Ag  0.500  0.500  0.500

Output
SG = Pm-3m, No. 221
magnetization = 0.00 μB per formula unit
raw total energy = -2.81 eV/atom
energy of formation from the pure elements = 255 kJ/mol of formula units
energy relative to the lowest polymorph listed for this composition = 584.8 meV/atom

***

The following is a DFT calculation (PBE) of an optimized crystal structure of AgSnAu6.

a b c (Å): 4.235 8.346 5.944
angles (deg): 134.59 90.00 90.00
Fractional coordinates of all 8 atoms:
Ag  0.000  0.884  0.767
Sn  0.500  0.620  0.240
Au  0.000  0.877  0.252
Au  0.000  0.374  0.252
Au  0.000  0.372  0.745
Au  0.500  0.628  0.745
Au  0.500  0.117  0.745
Au  0.500  0.127  0.253

Output
SG = Amm2, No. 38
magnetization = 0.00 μB per formula unit
raw total energy = -3.33 eV/atom
energy of formation from the pure elements = -14 kJ/mol of formula units
energy relative to the lowest polymorph listed for this composition = 30.4 meV/atom

***

The following is a DFT calculation (PBE) of an optimized crystal structure of AgSnAu3.

a b c (Å): 5.172 5.283 7.809
angles (deg): 84.03 70.80 72.51
Fractional coordinates of all 10 atoms:
Ag  0.853  0.843  0.015
Ag  0.558  0.346  0.600
Sn  0.354  0.343  0.014
Sn  0.058  0.846  0.600
Au  0.153  0.345  0.411
Au  0.955  0.344  0.806
Au  0.653  0.845  0.408
Au  0.758  0.344  0.206
Au  0.258  0.844  0.204
Au  0.456  0.845  0.808

Output
SG = P-1, No. 2
magnetization = 0.00 μB per formula unit
raw total energy = -3.39 eV/atom
energy of formation from the pure elements = -27 kJ/mol of formula units
energy relative to the lowest polymorph listed for this composition = 0.0 meV/atom

***

Look up the energy of formation from the pure elements of the eighth one.
255 kJ/mol of formula units

***

What is the formula in the third record?
Ag2Sn2Au3

***

Number 6 is which compound?
Ag5SnAu3